Entry 1:
# PBE LaTlHgTe, relaxed
# Formation energy without anion corrections   -0.610 eV per atom
# Total magnetization   0.00 μB per formula unit
data_LaTlHgTe
_chemical_formula_sum 'La4 Tl4 Hg4 Te4'
_cell_length_a 7.795
_cell_length_b 7.795
_cell_length_c 7.795
_cell_angle_alpha 90.00
_cell_angle_beta 90.00
_cell_angle_gamma 90.00
_space_group_name_H-M_alt 'F -4 3 m'
_space_group_IT_number 216
_space_group_name_Hall 'F -4 2 3'
loop_
_atom_site_label
_atom_site_fract_x
_atom_site_fract_y
_atom_site_fract_z
La1 0.000 0.000 0.000
Tl1 0.000 0.000 0.500
Hg1 0.250 0.250 0.250
Te1 0.250 0.250 0.750

Entry 2:
# PBE La2TmHgTe5, relaxed
# Formation energy without anion corrections   -1.192 eV per atom
# Total magnetization   0.00 μB per formula unit
data_La2TmHgTe5
_chemical_formula_sum 'La8 Tm4 Hg4 Te20'
_cell_length_a 4.432
_cell_length_b 19.156
_cell_length_c 13.585
_cell_angle_alpha 90.00
_cell_angle_beta 90.00
_cell_angle_gamma 90.00
_space_group_name_H-M_alt 'C m c 21'
_space_group_IT_number 36
loop_
_space_group_symop_operation_xyz
'x,y,z'
'-x,-y,z+1/2'
'-x,y,z'
'x,-y,z+1/2'
'x+1/2,y+1/2,z'
'-x+1/2,-y+1/2,z+1/2'
'-x+1/2,y+1/2,z'
'x+1/2,-y+1/2,z+1/2'
loop_
_atom_site_label
_atom_site_fract_x
_atom_site_fract_y
_atom_site_fract_z
La1 0.000 0.119 0.000
La2 0.000 0.127 0.622
Tm1 0.000 0.194 0.322
Hg1 0.000 0.438 0.779
Te1 0.000 0.043 0.406
Te2 0.000 0.290 0.978
Te3 0.000 0.300 0.658
Te4 0.000 0.354 0.315
Te5 0.000 0.499 0.592

Entry 3:
# PBE LaYHgTe2, relaxed
# Formation energy without anion corrections   -0.182 eV per atom
# Total magnetization   0.00 μB per formula unit
data_LaYHgTe2
_chemical_formula_sum 'La1 Y1 Hg1 Te2'
_cell_length_a 5.811
_cell_length_b 5.811
_cell_length_c 6.034
_cell_angle_alpha 90.00
_cell_angle_beta 90.00
_cell_angle_gamma 90.00
_space_group_name_H-M_alt 'P 4/m m m'
_space_group_IT_number 123
_space_group_name_Hall '-P 4 2'
loop_
_atom_site_label
_atom_site_fract_x
_atom_site_fract_y
_atom_site_fract_z
La1 0.000 0.000 0.000
Y1 0.000 0.000 0.500
Hg1 0.500 0.500 0.000
Te1 0.000 0.500 0.500

Entry 4:
# PBE LaZnHgTe2, relaxed
# Formation energy without anion corrections   -0.135 eV per atom
# Total magnetization   0.34 μB per formula unit
data_LaZnHgTe2
_chemical_formula_sum 'La1 Zn1 Hg1 Te2'
_cell_length_a 6.112
_cell_length_b 6.112
_cell_length_c 6.771
_cell_angle_alpha 90.00
_cell_angle_beta 90.00
_cell_angle_gamma 90.00
_space_group_name_H-M_alt 'P 4/m m m'
_space_group_IT_number 123
_space_group_name_Hall '-P 4 2'
loop_
_atom_site_label
_atom_site_fract_x
_atom_site_fract_y
_atom_site_fract_z
La1 0.000 0.000 0.000
Zn1 0.500 0.500 0.500
Hg1 0.000 0.000 0.500
Te1 0.000 0.500 0.000

Entry 5:
# PBE LaThHg, relaxed
# Energy of formation   -0.185 eV per atom
# Excess energy over the best structure of this formula in the dataset   0.16 eV/f.u.
# Total magnetization   0.00 μB per formula unit
data_LaThHg
_chemical_formula_sum 'La2 Th2 Hg2'
_cell_length_a 3.801
_cell_length_b 3.801
_cell_length_c 13.066
_cell_angle_alpha 90.00
_cell_angle_beta 90.00
_cell_angle_gamma 90.00
_space_group_name_H-M_alt 'I 4 m m'
_space_group_IT_number 107
_space_group_name_Hall 'I 4 -2'
loop_
_atom_site_label
_atom_site_fract_x
_atom_site_fract_y
_atom_site_fract_z
La1 0.000 0.000 0.000
Th1 0.000 0.000 0.307
Hg1 0.000 0.000 0.657

Entry 6:
# PBE LaThHg4, relaxed
# Energy of formation   -0.195 eV per atom
# Excess energy over the best structure of this formula in the dataset   1.01 eV/f.u.
# Total magnetization   0.04 μB per formula unit
data_LaThHg4
_chemical_formula_sum 'La4 Th4 Hg16'
_cell_length_a 8.558
_cell_length_b 8.558
_cell_length_c 8.558
_cell_angle_alpha 90.00
_cell_angle_beta 90.00
_cell_angle_gamma 90.00
_space_group_name_H-M_alt 'F -4 3 m'
_space_group_IT_number 216
_space_group_name_Hall 'F -4 2 3'
loop_
_atom_site_label
_atom_site_fract_x
_atom_site_fract_y
_atom_site_fract_z
La1 0.000 0.000 0.000
Th1 0.250 0.250 0.750
Hg1 0.125 0.125 0.375

Entry 7:
# PBE LaTh2Hg, relaxed
# Energy of formation   -0.041 eV per atom
# Excess energy over the best structure of this formula in the dataset   0.12 eV/f.u.
# Total magnetization   0.00 μB per formula unit
data_LaTh2Hg
_chemical_formula_sum 'La1 Th2 Hg1'
_cell_length_a 3.685
_cell_length_b 3.685
_cell_length_c 9.248
_cell_angle_alpha 90.00
_cell_angle_beta 90.00
_cell_angle_gamma 90.00
_space_group_name_H-M_alt 'P 4/m m m'
_space_group_IT_number 123
_space_group_name_Hall '-P 4 2'
loop_
_atom_site_label
_atom_site_fract_x
_atom_site_fract_y
_atom_site_fract_z
La1 0.000 0.000 0.000
Th1 0.500 0.500 0.276
Hg1 0.000 0.000 0.500

Entry 8:
# PBE LaTh3Hg6, relaxed
# Energy of formation   -0.257 eV per atom
# Total magnetization   0.00 μB per formula unit
data_LaTh3Hg6
_chemical_formula_sum 'La2 Th6 Hg12'
_cell_length_a 9.797
_cell_length_b 5.165
_cell_length_c 11.275
_cell_angle_alpha 90.00
_cell_angle_beta 104.48
_cell_angle_gamma 90.00
_space_group_name_H-M_alt 'P 1 21/m 1'
_space_group_IT_number 11
loop_
_space_group_symop_operation_xyz
'x,y,z'
'-x,-y,-z'
'-x,y+1/2,-z'
'x,-y+1/2,z'
loop_
_atom_site_label
_atom_site_fract_x
_atom_site_fract_y
_atom_site_fract_z
La1 0.060 0.250 0.381
Th1 0.232 0.250 0.998
Th2 0.356 0.750 0.796
Th3 0.483 0.250 0.608
Hg1 0.053 0.750 0.907
Hg2 0.149 0.750 0.203
Hg3 0.161 0.250 0.689
Hg4 0.243 0.750 0.509
Hg5 0.342 0.250 0.290
Hg6 0.448 0.750 0.090

Entry 9:
# PBE La2ThHg, relaxed
# Energy of formation   0.008 eV per atom
# Excess energy over the best structure of this formula in the dataset   1.05 eV/f.u.
# Total magnetization   0.10 μB per formula unit
data_La2ThHg
_chemical_formula_sum 'La8 Th4 Hg4'
_cell_length_a 7.961
_cell_length_b 7.961
_cell_length_c 7.961
_cell_angle_alpha 90.00
_cell_angle_beta 90.00
_cell_angle_gamma 90.00
_space_group_name_H-M_alt 'F m -3 m'
_space_group_IT_number 225
_space_group_name_Hall '-F 4 2 3'
loop_
_atom_site_label
_atom_site_fract_x
_atom_site_fract_y
_atom_site_fract_z
La1 0.250 0.250 0.250
Th1 0.000 0.000 0.000
Hg1 0.000 0.000 0.500

Entry 10:
# PBE La5ThHg6, relaxed
# Energy of formation   -0.443 eV per atom
# Total magnetization   2.53 μB per formula unit
data_La5ThHg6
_chemical_formula_sum 'La10 Th2 Hg12'
_cell_length_a 5.497
_cell_length_b 16.502
_cell_length_c 7.813
_cell_angle_alpha 90.00
_cell_angle_beta 90.00
_cell_angle_gamma 90.00
_space_group_name_H-M_alt 'C m m m'
_space_group_IT_number 65
_space_group_name_Hall '-C 2 2'
loop_
_atom_site_label
_atom_site_fract_x
_atom_site_fract_y
_atom_site_fract_z
La1 0.000 0.000 0.000
La2 0.000 0.331 0.000
La3 0.000 0.335 0.500
Th1 0.000 0.000 0.500
Hg1 0.000 0.165 0.254
Hg2 0.000 0.500 0.251

Entry 11:
# PBE La4ThHg3, relaxed
# Energy of formation   -0.317 eV per atom
# Total magnetization   0.00 μB per formula unit
data_La4ThHg3
_chemical_formula_sum 'La4 Th1 Hg3'
_cell_length_a 3.704
_cell_length_b 5.703
_cell_length_c 11.564
_cell_angle_alpha 90.00
_cell_angle_beta 90.00
_cell_angle_gamma 90.00
_space_group_name_H-M_alt 'P m m m'
_space_group_IT_number 47
loop_
_space_group_symop_operation_xyz
'x,y,z'
'-x,-y,-z'
'-x,-y,z'
'x,y,-z'
'x,-y,-z'
'-x,y,z'
'-x,y,-z'
'x,-y,z'
loop_
_atom_site_label
_atom_site_fract_x
_atom_site_fract_y
_atom_site_fract_z
La1 0.000 0.000 0.000
La2 0.000 0.000 0.500
La3 0.000 0.500 0.240
Th1 0.500 0.500 0.500
Hg1 0.500 0.000 0.255
Hg2 0.500 0.500 0.000

Entry 12:
# PBE LaThHg2, relaxed
# Energy of formation   -0.340 eV per atom
# Total magnetization   0.26 μB per formula unit
data_LaThHg2
_chemical_formula_sum 'La1 Th1 Hg2'
_cell_length_a 3.861
_cell_length_b 3.861
_cell_length_c 7.744
_cell_angle_alpha 90.00
_cell_angle_beta 90.00
_cell_angle_gamma 90.00
_space_group_name_H-M_alt 'P 4/m m m'
_space_group_IT_number 123
_space_group_name_Hall '-P 4 2'
loop_
_atom_site_label
_atom_site_fract_x
_atom_site_fract_y
_atom_site_fract_z
La1 0.000 0.000 0.000
Th1 0.000 0.000 0.500
Hg1 0.500 0.500 0.256